# 1
{"formula": "LiZn8", "functional": "meta-GGA SCAN", "state": "single point on PBEsol structure", "cell": [[3.8258, 0.0000, 0.0000], [1.9129, 5.7356, 0.0000], [1.9129, 0.0000, 5.7356]], "species": ["Li", "Zn", "Zn", "Zn", "Zn", "Zn", "Zn", "Zn", "Zn"], "frac_coords": [[0.0000, 0.0000, 0.0000], [0.3331, 0.0000, 0.3338], [0.6669, 0.0000, 0.6662], [0.6666, 0.3334, 0.3334], [0.3331, 0.3338, 0.0000], [0.0000, 0.3334, 0.6666], [0.6669, 0.6662, 0.0000], [0.3334, 0.6666, 0.6666], [0.0000, 0.6666, 0.3334]], "dft_energy_ev_per_atom": -12.3377, "dos_ef_per_ev_cell": 2.28, "magnetic_moment_mub_per_atom": 0.00, "sg": "No. 139"}

# 2
{"formula": "Mn2SeF", "functional": "meta-GGA SCAN", "state": "single point on PBEsol structure", "cell": [[-3.9149, 1.6991, 0.7364], [-1.9408, -0.6097, 3.8232], [-0.4400, 3.3104, 2.7574]], "species": ["Mn", "Mn", "Se", "F"], "frac_coords": [[0.2500, 0.2500, 0.2500], [0.7500, 0.7500, 0.7500], [0.5000, 0.5000, 0.5000], [0.0000, 0.0000, 0.0000]], "dft_energy_ev_per_atom": -16.0444, "e_form_raw_ev_per_atom": -1.01, "dos_ef_per_ev_cell": 3.00, "magnetic_moment_mub_per_atom": 2.25, "sg": "No. 225"}

# 3
{"formula": "HfNb2VC4", "functional": "meta-GGA SCAN", "state": "single point on PBEsol structure", "cell": [[3.1339, 0.0000, 0.0000], [1.5669, 2.7140, 0.0000], [1.5669, 0.9047, 10.1717]], "species": ["Nb", "Nb", "Hf", "C", "C", "C", "C", "V"], "frac_coords": [[0.4968, 0.4968, 0.5096], [0.2488, 0.2488, 0.2536], [0.0032, 0.0032, 0.9904], [0.8731, 0.8731, 0.3807], [0.6249, 0.6249, 0.1254], [0.3804, 0.3804, 0.8587], [0.1212, 0.1212, 0.6364], [0.7516, 0.7516, 0.7452]], "dft_energy_ev_per_atom": -23.9600, "dos_ef_per_ev_cell": 3.17, "magnetic_moment_mub_per_atom": 0.00, "sg": "No. 160"}

# 4
{"formula": "KLi2IrRh", "functional": "meta-GGA SCAN", "state": "single point on PBEsol structure", "cell": [[4.6418, 0.0000, 0.0000], [0.0000, 4.6418, 0.0000], [0.0000, 0.0000, 5.3137]], "species": ["K", "Ir", "Rh", "Li", "Li"], "frac_coords": [[0.0000, 0.0000, 0.5000], [0.0000, 0.0000, 0.0000], [0.5000, 0.5000, 0.5000], [0.0000, 0.5000, 0.0000], [0.5000, 0.0000, 0.0000]], "dft_energy_ev_per_atom": -22.3049, "dos_ef_per_ev_cell": 3.58, "magnetic_moment_mub_per_atom": 0.22, "sg": "No. 123"}

# 5
{"formula": "NbRuBr2", "functional": "meta-GGA SCAN", "state": "single point on PBEsol structure", "cell": [[-2.1551, 0.7287, -2.2234], [-2.8358, -1.4412, 0.0008], [-4.8586, 6.0521, 4.4175]], "species": ["Ru", "Nb", "Br", "Br"], "frac_coords": [[0.5000, 0.5000, 0.5000], [0.0000, 0.0000, 0.0000], [0.9042, 0.9042, 0.2874], [0.0958, 0.0958, 0.7126]], "dft_energy_ev_per_atom": -26.0387, "e_form_raw_ev_per_atom": 0.68, "dos_ef_per_ev_cell": 3.04, "magnetic_moment_mub_per_atom": 0.52, "sg": "No. 166"}

# 6
{"formula": "CoTeW2", "functional": "meta-GGA SCAN", "state": "single point on PBEsol structure", "cell": [[-0.9631, -2.7441, 1.5991], [1.0038, -2.2837, -3.3144], [4.1830, -0.5208, 1.6256]], "species": ["Co", "Te", "W", "W"], "frac_coords": [[0.5000, 0.0000, 0.5000], [0.0000, 0.5000, 0.5000], [0.0000, 0.0000, 0.0000], [0.5000, 0.5000, 0.0000]], "dft_energy_ev_per_atom": -47.7240, "e_form_raw_ev_per_atom": 0.76, "dos_ef_per_ev_cell": 4.23, "magnetic_moment_mub_per_atom": 0.00, "sg": "No. 47"}